1.
# LiInSi2 (GGA-PBE, optimized geometry)
# Density of states at the Fermi level ... 1.7 states/eV/cell
# Total moment ... 0.00 Bohr magnetons per cell
# Total DFT energy (no corrections) ... -14.9 eV per cell
# Formation energy (no corrections) ... 14.69 kJ/mol of atoms
# SG ... Cm, No. 8
data_LiInSi2
_symmetry_space_group_name_H-M 'P 1'
_symmetry_Int_Tables_number 1
_symmetry_space_group_name_Hall 'P 1'
_cell_length_a 4.7733
_cell_length_b 4.7733
_cell_length_c 5.1832
_cell_angle_alpha 71.16
_cell_angle_beta 71.16
_cell_angle_gamma 44.54
loop_
_atom_site_label
_atom_site_fract_x
_atom_site_fract_y
_atom_site_fract_z
Li1 0.2863 0.2863 0.1629
In1 0.4868 0.4868 0.5071
Si1 0.0276 0.0276 0.0299
Si2 0.6993 0.6993 0.8002



2.
# LiIn2Si (GGA-PBE, optimized geometry)
# Density of states at the Fermi level ... 1.5 states/eV/cell
# Total moment ... 0.00 Bohr magnetons per cell
# Total DFT energy (no corrections) ... -12.5 eV per cell
# Formation energy (no corrections) ... 7.69 kJ/mol of atoms
# SG ... Pm, No. 6
data_LiIn2Si
_symmetry_space_group_name_H-M 'P 1'
_symmetry_Int_Tables_number 1
_symmetry_space_group_name_Hall 'P 1'
_cell_length_a 4.9101
_cell_length_b 3.2801
_cell_length_c 5.2260
_cell_angle_alpha 86.00
_cell_angle_beta 90.00
_cell_angle_gamma 90.00
loop_
_atom_site_label
_atom_site_fract_x
_atom_site_fract_y
_atom_site_fract_z
Li1 0.0000 0.6392 0.4656
In1 0.5000 0.1612 0.3127
In2 0.0000 0.1097 0.9412
Si1 0.5000 0.5899 0.7805



3.
# LiIn2Si2 (GGA-PBE, optimized geometry)
# Density of states at the Fermi level ... 1.8 states/eV/cell
# Total moment ... 0.00 Bohr magnetons per cell
# Total DFT energy (no corrections) ... -17.4 eV per cell
# Formation energy (no corrections) ... 17.02 kJ/mol of atoms
# SG ... I4/mmm, No. 139
data_LiIn2Si2
_symmetry_space_group_name_H-M 'P 1'
_symmetry_Int_Tables_number 1
_symmetry_space_group_name_Hall 'P 1'
_cell_length_a 4.8447
_cell_length_b 4.8447
_cell_length_c 6.0516
_cell_angle_alpha 66.40
_cell_angle_beta 66.40
_cell_angle_gamma 90.00
loop_
_atom_site_label
_atom_site_fract_x
_atom_site_fract_y
_atom_site_fract_z
Li1 0.0000 0.0000 0.0000
In1 0.2500 0.7500 0.5000
In2 0.7500 0.2500 0.5000
Si1 0.6168 0.6168 0.7663
Si2 0.3832 0.3832 0.2337